Computed, not measured: a geometry-optimized Ho2HgF8 structure at the GGA-PBE level of DFT.

Cell: 3.621 5.578 7.704 Å, 108.12 103.59 90.00°
Positions (direct):
F 0.601 0.471 0.203
F 0.316 0.036 0.631
F 0.217 0.332 0.433
F 0.046 0.809 0.093
F 0.783 0.668 0.567
F 0.684 0.964 0.369
F 0.399 0.529 0.797
F 0.954 0.191 0.907
Ho 0.181 0.690 0.362
Ho 0.819 0.310 0.638
Hg 0.500 0.000 0.000

Values from the calculation:
The calculated total energy comes out at -5.6043 eV per atom. The formation energy (no corrections) is -3384 meV/atom. The magnetization is 0.000 μB per atom. The energy above the most stable polymorph in this dataset is 0.000 eV per atom. As for the density of states at the Fermi level: 0.00 states/eV/f.u.

=====

Computed, not measured: a geometry-optimized Mn2OsCl structure at the GGA-PBE level of DFT.

Cell: 2.941 2.976 7.315 Å, 90.00 90.00 90.00°
Positions (direct):
Mn 0.000 0.750 0.031
Mn 0.000 0.750 0.469
Os 0.500 0.250 0.250
Cl 0.500 0.750 0.750

Values from the calculation:
The calculated total energy comes out at -7.7727 eV per atom. The formation energy (no corrections) is 81 meV/atom. The magnetization is 1.755 μB per atom. The energy above the most stable polymorph in this dataset is 0.000 eV per atom. As for the density of states at the Fermi level: 1.83 states/eV/f.u.

=====

Computed, not measured: a geometry-optimized Fe2CoHRh structure at the GGA-PBE level of DFT.

Cell: 3.755 3.755 3.708 Å, 90.00 90.00 90.00°
Positions (direct):
Co 0.500 0.500 0.500
Rh 0.000 0.000 0.500
Fe 0.000 0.500 0.000
Fe 0.500 0.000 0.000
H 0.000 0.000 0.000

Values from the calculation:
The calculated total energy comes out at -6.9122 eV per atom. The magnetization is 1.542 μB per atom. The energy above the most stable polymorph in this dataset is 0.000 eV per atom. As for the density of states at the Fermi level: 4.93 states/eV/f.u.

=====

Computed, not measured: a geometry-optimized BaBiSb structure at the GGA-PBE level of DFT.

Cell: 4.887 5.260 5.260 Å, 120.00 90.00 90.00°
Positions (direct):
Sb 0.227 0.333 0.667
Bi 0.115 0.000 0.000
Ba 0.658 0.667 0.333

Values from the calculation:
The calculated total energy comes out at -3.9383 eV per atom. The formation energy (no corrections) is -630 meV/atom. The magnetization is 0.000 μB per atom. The energy above the most stable polymorph in this dataset is 0.036 eV per atom. As for the density of states at the Fermi level: 0.86 states/eV/f.u.

=====

Computed, not measured: a geometry-optimized TmMn2Ga2C structure at the GGA-PBE level of DFT.

Cell: 3.890 3.890 5.525 Å, 90.00 90.00 90.00°
Positions (direct):
Tm 0.000 0.000 0.500
Mn 0.500 0.000 0.000
Mn 0.000 0.500 0.000
Ga 0.500 0.500 0.722
Ga 0.500 0.500 0.278
C 0.000 0.000 0.000

Values from the calculation:
The calculated total energy comes out at -6.7028 eV per atom. The value obtained for the formation energy is -0.3548 eV/atom. The magnetization is 0.291 μB per atom. As for the density of states at the Fermi level: 3.26 states/eV/f.u.

=====

Computed, not measured: a geometry-optimized Nd2TmNi structure at the GGA-PBE level of DFT.

Cell: 3.653 3.653 10.670 Å, 80.14 80.14 60.00°
Positions (direct):
Ni 0.500 0.500 0.500
Tm 0.000 0.000 0.000
Nd 0.110 0.110 0.671
Nd 0.890 0.890 0.329

Values from the calculation:
The calculated total energy comes out at -4.7944 eV per atom. The value obtained for the formation energy is 0.1527 eV/atom. The magnetization is 0.000 μB per atom. The energy above the most stable polymorph in this dataset is 0.209 eV per atom. As for the density of states at the Fermi level: 4.97 states/eV/f.u.

=====

Computed, not measured: a geometry-optimized Ac2PmTl3Te6 structure at the GGA-PBE level of DFT.

Cell: 8.185 8.185 8.604 Å, 99.14 99.14 119.96°
Positions (direct):
Ac 0.334 0.666 0.000
Ac 0.666 0.334 0.000
Pm 0.000 0.000 0.000
Tl 0.169 0.831 0.500
Tl 0.831 0.169 0.500
Tl 0.500 0.500 0.500
Te 0.925 0.605 0.776
Te 0.755 0.755 0.227
Te 0.075 0.395 0.224
Te 0.605 0.925 0.776
Te 0.245 0.245 0.773
Te 0.395 0.075 0.224

Values from the calculation:
The calculated total energy comes out at -4.3620 eV per atom. The formation energy (no corrections) is -1119 meV/atom. The magnetization is 0.000 μB per atom.

=====

Computed, not measured: a geometry-optimized Pu3GeH structure at the GGA-PBE level of DFT.

Cell: 4.679 4.679 4.679 Å, 90.00 90.00 90.00°
Positions (direct):
H 0.000 0.000 0.000
Ge 0.500 0.500 0.500
Pu 0.000 0.500 0.000
Pu 0.000 0.000 0.500
Pu 0.500 0.000 0.000

Values from the calculation:
The calculated total energy comes out at -10.4510 eV per atom. The magnetization is 3.656 μB per atom. The energy above the most stable polymorph in this dataset is 0.000 eV per atom. As for the density of states at the Fermi level: 15.31 states/eV/f.u.

=====

Computed, not measured: a geometry-optimized CsYCl3 structure at the GGA-PBE level of DFT.

Cell: 9.045 3.865 10.999 Å, 100.19 114.58 77.60°
Positions (direct):
Y 0.224 0.475 0.824
Y 0.472 0.006 0.134
Cs 0.061 0.815 0.345
Cs 0.647 0.676 0.652
Cl 0.421 0.617 0.303
Cl 0.467 0.884 0.886
Cl 0.144 0.095 0.982
Cl 0.993 0.008 0.660
Cl 0.309 0.319 0.599
Cl 0.722 0.406 0.185

Values from the calculation:
The calculated total energy comes out at -4.5194 eV per atom. The formation energy (no corrections) is -1948 meV/atom. The magnetization is 0.000 μB per atom. As for the density of states at the Fermi level: 0.00 states/eV/f.u.

=====

Computed, not measured: a geometry-optimized Mn4Os structure at the GGA-PBE level of DFT.

Cell: 4.611 4.611 4.611 Å, 90.00 90.00 90.00°
Positions (direct):
Mn 0.000 0.000 0.000
Mn 0.500 0.000 0.500
Mn 0.000 0.500 0.500
Mn 0.500 0.500 0.000
Os 0.500 0.500 0.500

Values from the calculation:
The calculated total energy comes out at -8.1907 eV per atom. The value obtained for the formation energy is 1.3909 eV/atom. The magnetization is 2.619 μB per atom. The energy above the most stable polymorph in this dataset is 1.310 eV per atom. As for the density of states at the Fermi level: 8.42 states/eV/f.u.

=====

Computed, not measured: a geometry-optimized Dy2ErTl3 structure at the GGA-PBE level of DFT.

Cell: 3.650 3.650 12.250 Å, 90.00 90.00 90.00°
Positions (direct):
Dy 0.500 0.500 0.833
Dy 0.500 0.500 0.167
Er 0.500 0.500 0.500
Tl 0.000 0.000 0.000
Tl 0.000 0.000 0.665
Tl 0.000 0.000 0.335

Values from the calculation:
The calculated total energy comes out at -3.8138 eV per atom. The value obtained for the formation energy is -0.3362 eV/atom. The magnetization is 0.001 μB per atom. As for the density of states at the Fermi level: 4.59 states/eV/f.u.

=====

Computed, not measured: a geometry-optimized GdThCdIn structure at the GGA-PBE level of DFT.

Cell: 5.411 5.411 5.411 Å, 60.00 60.00 60.00°
Positions (direct):
Cd 0.000 0.000 0.000
Gd 0.750 0.750 0.750
Th 0.250 0.250 0.250
In 0.500 0.500 0.500

Values from the calculation:
The calculated total energy comes out at -6.5612 eV per atom. The value obtained for the formation energy is -0.2726 eV/atom. The magnetization is 1.812 μB per atom. As for the density of states at the Fermi level: 3.32 states/eV/f.u.

=====

Computed, not measured: a geometry-optimized Ag2PRu structure at the GGA-PBE level of DFT.

Cell: 4.451 4.451 4.451 Å, 60.00 60.00 60.00°
Positions (direct):
Ag 0.000 0.000 0.000
Ag 0.750 0.750 0.750
P 0.500 0.500 0.500
Ru 0.250 0.250 0.250

Values from the calculation:
The calculated total energy comes out at -4.6422 eV per atom. The value obtained for the formation energy is 0.4548 eV/atom. The magnetization is 0.000 μB per atom. The energy above the most stable polymorph in this dataset is 0.501 eV per atom. As for the density of states at the Fermi level: 3.99 states/eV/f.u.

=====

Computed, not measured: a geometry-optimized Sr4Bi5Pd2 structure at the GGA-PBE level of DFT.

Cell: 4.735 7.978 9.475 Å, 91.06 90.00 90.00°
Positions (direct):
Sr 0.500 0.764 0.594
Sr 0.500 0.217 0.865
Sr 0.500 0.236 0.406
Sr 0.500 0.783 0.135
Bi 0.000 0.576 0.343
Bi 0.000 0.119 0.136
Bi 0.000 0.500 0.000
Bi 0.000 0.881 0.864
Bi 0.000 0.424 0.657
Pd 0.000 0.082 0.629
Pd 0.000 0.918 0.371

Values from the calculation:
The calculated total energy comes out at -3.9847 eV per atom. The value obtained for the formation energy is -0.6649 eV/atom. The magnetization is 0.000 μB per atom. As for the density of states at the Fermi level: 5.53 states/eV/f.u.

=====

Computed, not measured: a geometry-optimized NaVAgBr2 structure at the GGA-PBE level of DFT.

Cell: 5.259 5.473 5.259 Å, 90.00 90.00 90.00°
Positions (direct):
Na 0.000 0.000 0.000
Br 0.000 0.000 0.500
Br 0.500 0.000 0.000
Ag 0.500 0.500 0.500
V 0.000 0.500 0.000

Values from the calculation:
The calculated total energy comes out at -2.7657 eV per atom. The formation energy (no corrections) is 561 meV/atom. The magnetization is 0.833 μB per atom. As for the density of states at the Fermi level: 8.23 states/eV/f.u.

=====

Computed, not measured: a geometry-optimized Rb2SrAg structure at the GGA-PBE level of DFT.

Cell: 6.722 6.722 6.722 Å, 60.00 60.00 60.00°
Positions (direct):
Sr 0.000 0.000 0.000
Rb 0.250 0.250 0.250
Rb 0.750 0.750 0.750
Ag 0.500 0.500 0.500

Values from the calculation:
The calculated total energy comes out at -1.3143 eV per atom. The value obtained for the formation energy is 0.3027 eV/atom. The magnetization is 0.000 μB per atom. The energy above the most stable polymorph in this dataset is 0.143 eV per atom. As for the density of states at the Fermi level: 3.04 states/eV/f.u.

=====

Computed, not measured: a geometry-optimized Er5Tm4Tl structure at the GGA-PBE level of DFT.

Cell: 3.550 8.934 9.987 Å, 93.31 90.00 101.46°
Positions (direct):
Er 0.809 0.618 0.401
Er 0.854 0.708 0.751
Er 0.146 0.292 0.249
Er 0.500 0.000 0.500
Er 0.191 0.382 0.599
Tm 0.317 0.634 0.089
Tm 0.959 0.917 0.229
Tm 0.683 0.366 0.911
Tm 0.041 0.083 0.771
Tl 0.500 0.000 0.000

Values from the calculation:
The calculated total energy comes out at -4.2028 eV per atom. The value obtained for the formation energy is 0.1039 eV/atom. The magnetization is 0.001 μB per atom. The energy above the most stable polymorph in this dataset is 0.000 eV per atom. As for the density of states at the Fermi level: 15.66 states/eV/f.u.

=====

Computed, not measured: a geometry-optimized Na3Sn3Hg2 structure at the GGA-PBE level of DFT.

Cell: 4.237 7.772 7.772 Å, 120.00 90.00 90.00°
Positions (direct):
Na 0.500 0.393 0.393
Na 0.500 0.607 0.000
Na 0.500 0.000 0.607
Sn 0.000 0.770 0.770
Sn 0.000 0.230 0.000
Sn 0.000 0.000 0.230
Hg 0.000 0.333 0.667
Hg 0.000 0.667 0.333

Values from the calculation:
The calculated total energy comes out at -2.2076 eV per atom. The value obtained for the formation energy is -0.1364 eV/atom. The magnetization is 0.000 μB per atom. The energy above the most stable polymorph in this dataset is 0.012 eV per atom. As for the density of states at the Fermi level: 3.23 states/eV/f.u.

=====

Computed, not measured: a geometry-optimized Ta6Nb12V structure at the GGA-PBE level of DFT.

Cell: 7.098 7.098 7.098 Å, 89.70 89.70 89.70°
Positions (direct):
Ta 0.735 0.887 0.259
Ta 0.741 0.265 0.113
Ta 0.113 0.741 0.265
Ta 0.265 0.113 0.741
Ta 0.259 0.735 0.887
Ta 0.887 0.259 0.735
Nb 0.811 0.520 0.421
Nb 0.421 0.811 0.520
Nb 0.520 0.421 0.811
Nb 0.189 0.480 0.579
Nb 0.579 0.189 0.480
Nb 0.480 0.579 0.189
Nb 0.058 0.147 0.376
Nb 0.853 0.624 0.942
Nb 0.624 0.942 0.853
Nb 0.942 0.853 0.624
Nb 0.147 0.376 0.058
Nb 0.376 0.058 0.147
V 0.000 0.000 0.000

Values from the calculation:
The calculated total energy comes out at -10.4380 eV per atom. The value obtained for the formation energy is 0.1447 eV/atom. The magnetization is 0.000 μB per atom. As for the density of states at the Fermi level: 20.08 states/eV/f.u.

=====

Computed, not measured: a geometry-optimized Rb6CdCl8 structure at the GGA-PBE level of DFT.

Cell: 8.479 8.479 8.479 Å, 69.37 69.37 69.37°
Positions (direct):
Rb 0.059 0.484 0.700
Rb 0.300 0.941 0.516
Rb 0.516 0.300 0.941
Rb 0.484 0.700 0.059
Rb 0.700 0.059 0.484
Rb 0.941 0.516 0.300
Cd 0.000 0.000 0.000
Cl 0.155 0.694 0.907
Cl 0.093 0.845 0.306
Cl 0.306 0.093 0.845
Cl 0.656 0.656 0.656
Cl 0.344 0.344 0.344
Cl 0.694 0.907 0.155
Cl 0.907 0.155 0.694
Cl 0.845 0.306 0.093

Values from the calculation:
The calculated total energy comes out at -3.1865 eV per atom. The formation energy (no corrections) is -1754 meV/atom. The magnetization is 0.018 μB per atom. As for the density of states at the Fermi level: 0.00 states/eV/f.u.

=====

Computed, not measured: a geometry-optimized MoPdSe2N structure at the GGA-PBE level of DFT.

Cell: 5.039 5.039 3.762 Å, 90.00 90.00 90.00°
Positions (direct):
Mo 0.000 0.000 0.000
Se 0.000 0.500 0.000
Se 0.500 0.000 0.000
Pd 0.500 0.500 0.500
N 0.000 0.000 0.500

Values from the calculation:
The calculated total energy comes out at -5.8885 eV per atom. The formation energy (no corrections) is 375 meV/atom. The magnetization is 0.000 μB per atom. The energy above the most stable polymorph in this dataset is 0.000 eV per atom. As for the density of states at the Fermi level: 5.41 states/eV/f.u.

=====

Computed, not measured: a geometry-optimized SiS2ClO structure at the GGA-PBE level of DFT.

Cell: 4.506 4.506 4.667 Å, 90.00 90.00 90.00°
Positions (direct):
S 0.000 0.500 0.000
S 0.500 0.000 0.000
Si 0.000 0.000 0.000
O 0.500 0.500 0.500
Cl 0.000 0.000 0.500

Values from the calculation:
The calculated total energy comes out at -3.4171 eV per atom. The formation energy (no corrections) is 679 meV/atom. The magnetization is 0.542 μB per atom. The energy above the most stable polymorph in this dataset is 0.000 eV per atom. As for the density of states at the Fermi level: 5.04 states/eV/f.u.

=====

Computed, not measured: a geometry-optimized Pm4ErS4 structure at the GGA-PBE level of DFT.

Cell: 6.875 6.875 6.875 Å, 99.80 99.80 131.28°
Positions (direct):
Pm 0.802 0.600 0.402
Pm 0.198 0.400 0.598
Pm 0.600 0.198 0.798
Pm 0.400 0.802 0.202
Er 0.000 0.000 0.000
S 0.706 0.903 0.610
S 0.294 0.097 0.390
S 0.903 0.294 0.197
S 0.097 0.706 0.803

Values from the calculation:
The calculated total energy comes out at -6.2221 eV per atom. The formation energy (no corrections) is -1769 meV/atom. The magnetization is 0.000 μB per atom. As for the density of states at the Fermi level: 6.27 states/eV/f.u.

=====

Computed, not measured: a geometry-optimized La2InTe5 structure at the GGA-PBE level of DFT.

Cell: 6.411 8.350 13.956 Å, 90.00 90.00 112.58°
Positions (direct):
La 0.828 0.656 0.424
La 0.828 0.656 0.076
La 0.172 0.344 0.576
La 0.172 0.344 0.924
In 0.813 0.627 0.750
In 0.187 0.373 0.250
Te 0.965 0.930 0.899
Te 0.965 0.930 0.601
Te 0.315 0.631 0.410
Te 0.315 0.631 0.090
Te 0.694 0.388 0.250
Te 0.306 0.612 0.750
Te 0.685 0.369 0.590
Te 0.685 0.369 0.910
Te 0.035 0.070 0.101
Te 0.035 0.070 0.399

Values from the calculation:
The calculated total energy comes out at -4.4437 eV per atom. The formation energy (no corrections) is -906 meV/atom. The magnetization is 0.000 μB per atom. As for the density of states at the Fermi level: 6.67 states/eV/f.u.